[1]
DFT (PBE-GGA) results for a relaxed RbCdPt3 crystal.

a b c (Å): 5.1332 5.1332 5.1332
angles (deg): 90.00 90.00 90.00
With the nearest neighbours (Å) after each atom.
Atoms (fractional coordinates):
1 Rb 0.0000 0.0000 0.0000  6 Pt 2.57
2 Cd 0.5000 0.5000 0.5000  12 Pt 3.63
3 Pt 0.0000 0.0000 0.5000  2 Rb 2.57
4 Pt 0.0000 0.5000 0.0000  2 Rb 2.57
5 Pt 0.5000 0.0000 0.0000  2 Rb 2.57

Energy of formation from the pure elements (meV per atom): 1956.4
Space-group type: Pm-3m (221)
Size of the total moment (μB per formula unit): 0.00
Fermi-level density of states (states/eV/f.u.): 7.0
VASP energy (eV per atom): -2.045

---

[2]
DFT (PBE-GGA) results for a relaxed K2Cl6F crystal.

a b c (Å): 4.0583 8.1451 9.3583
angles (deg): 114.34 101.42 90.17
With the nearest neighbours (Å) after each atom.
Atoms (fractional coordinates):
1 K 0.0026 0.2764 0.0039  2 F 2.73-2.74
2 K 0.9974 0.7236 0.9961  2 F 2.73-2.74
3 Cl 0.0023 0.2370 0.4675  1 Cl 2.05
4 Cl 0.2382 0.3557 0.7064  1 Cl 2.05
5 Cl 0.4486 0.9261 0.8417  2 Cl 2.64-2.86
6 Cl 0.5514 0.0739 0.1583  2 Cl 2.64-2.86
7 Cl 0.7618 0.6443 0.2936  1 Cl 2.05
8 Cl 0.9977 0.7630 0.5325  1 Cl 2.05
9 F 0.5000 0.5000 0.0000  2 Cl 2.50, 4 K 2.73-2.74

Space-group type: P-1 (2)
Size of the total moment (μB per formula unit): 1.00
VASP energy (eV per atom): -2.666
Raw formation energy (eV/atom): -0.98

---

[3]
DFT (PBE-GGA) results for a relaxed CaSbN2O crystal.

a b c (Å): 4.0401 4.0401 4.0907
angles (deg): 90.00 90.00 90.00
With the nearest neighbours (Å) after each atom.
Atoms (fractional coordinates):
1 Ca 0.0000 0.0000 0.0000  4 O 2.86, 8 N 2.87
2 Sb 0.5000 0.5000 0.5000  4 N 2.02, 2 O 2.05
3 N 0.0000 0.5000 0.5000  2 Sb 2.02
4 N 0.5000 0.0000 0.5000  2 Sb 2.02
5 O 0.5000 0.5000 0.0000  2 Sb 2.05

Space-group type: P4/mmm (123)
Size of the total moment (μB per formula unit): 0.42
Fermi-level density of states (states/eV/f.u.): 2.6
VASP energy (eV per atom): -5.888
Raw formation energy (eV/atom): -0.34

---

[4]
DFT (PBE-GGA) results for a relaxed AuO2F2 crystal.

a b c (Å): 6.5262 6.5262 5.3436
angles (deg): 105.45 105.45 92.54
With the nearest neighbours (Å) after each atom.
Atoms (fractional coordinates):
1 Au 0.0299 0.9701 0.7500  2 F 1.94
2 Au 0.9701 0.0299 0.2500  2 F 1.94
3 O 0.3426 0.6374 0.1311  1 O 1.21
4 O 0.3626 0.6574 0.3689  1 O 1.21
5 O 0.6374 0.3426 0.6311  1 O 1.21
6 O 0.6574 0.3626 0.8689  1 O 1.21
7 F 0.1975 0.2692 0.4042  1 Au 1.94
8 F 0.2692 0.1975 0.9042  1 Au 1.94
9 F 0.7308 0.8025 0.0958  1 Au 1.94
10 F 0.8025 0.7308 0.5958  1 Au 1.94

Space-group type: C2/c (15)
Size of the total moment (μB per formula unit): 1.59
Fermi-level density of states (states/eV/f.u.): 5.7
VASP energy (eV per atom): -3.792
Raw formation energy (eV/atom): -0.41

---

[5]
DFT (PBE-GGA) results for a relaxed TbNd3Dy6Er2 crystal.

a b c (Å): 6.1893 6.1893 11.8210
angles (deg): 94.99 94.99 119.98
With the nearest neighbours (Å) after each atom.
Atoms (fractional coordinates):
1 Tb 0.0000 0.0000 0.0000  6 Dy 3.53, 6 Er 3.57
2 Nd 0.1667 0.8333 0.5000  6 Nd 3.57, 6 Dy 3.60-3.61
3 Nd 0.5000 0.5000 0.5000  6 Nd 3.57, 6 Dy 3.61
4 Nd 0.8333 0.1667 0.5000  6 Nd 3.57, 6 Dy 3.60-3.61
5 Dy 0.0822 0.4158 0.2459  2 Er 3.53, 1 Tb 3.53, 6 Dy 3.57-3.58, 3 Nd 3.60-3.61
6 Dy 0.2514 0.2514 0.7541  1 Tb 3.53, 2 Er 3.53, 6 Dy 3.57-3.58, 3 Nd 3.61
7 Dy 0.4158 0.0822 0.2459  2 Er 3.53, 1 Tb 3.53, 6 Dy 3.57-3.58, 3 Nd 3.60-3.61
8 Dy 0.5842 0.9178 0.7541  2 Er 3.53, 1 Tb 3.53, 6 Dy 3.57-3.58, 3 Nd 3.60-3.61
9 Dy 0.7486 0.7486 0.2459  1 Tb 3.53, 2 Er 3.53, 6 Dy 3.57-3.58, 3 Nd 3.61
10 Dy 0.9178 0.5842 0.7541  2 Er 3.53, 1 Tb 3.53, 6 Dy 3.57-3.58, 3 Nd 3.60-3.61
11 Er 0.3333 0.6667 0.0000  6 Dy 3.53, 3 Tb 3.57, 3 Er 3.57
12 Er 0.6667 0.3333 0.0000  6 Dy 3.53, 3 Tb 3.57, 3 Er 3.57

Energy of formation from the pure elements (meV per atom): 18.1
Space-group type: C2/m (12)
Size of the total moment (μB per formula unit): 0.00
Fermi-level density of states (states/eV/f.u.): 15.8
VASP energy (eV per atom): -4.621

---

[6]
DFT (PBE-GGA) results for a relaxed Ba5Pd3 crystal.

a b c (Å): 10.0255 10.0255 8.7522
angles (deg): 94.88 94.88 135.15
With the nearest neighbours (Å) after each atom.
Atoms (fractional coordinates):
1 Ba 0.0066 0.6166 0.7977  4 Pd 3.28-3.48
2 Ba 0.1576 0.3755 0.6226  5 Pd 3.28-3.52
3 Ba 0.2586 0.2586 0.0342  4 Pd 3.20-3.41
4 Ba 0.3755 0.1576 0.6226  5 Pd 3.28-3.52
5 Ba 0.3834 0.9934 0.2023  4 Pd 3.28-3.48
6 Ba 0.6166 0.0066 0.7977  4 Pd 3.28-3.48
7 Ba 0.6245 0.8424 0.3774  5 Pd 3.28-3.52
8 Ba 0.7414 0.7414 0.9658  4 Pd 3.20-3.41
9 Ba 0.8424 0.6245 0.3774  5 Pd 3.28-3.52
10 Ba 0.9934 0.3834 0.2023  4 Pd 3.28-3.48
11 Pd 0.0457 0.0457 0.3096  6 Ba 3.20-3.52, 1 Pd 3.55
12 Pd 0.2504 0.7496 0.5000  8 Ba 3.28-3.46
13 Pd 0.3482 0.6518 0.0000  8 Ba 3.37-3.48
14 Pd 0.6518 0.3482 0.0000  8 Ba 3.37-3.48
15 Pd 0.7496 0.2504 0.5000  8 Ba 3.28-3.46
16 Pd 0.9543 0.9543 0.6904  6 Ba 3.20-3.52, 1 Pd 3.55

Energy of formation from the pure elements (meV per atom): -415.7
Space-group type: C2/m (12)
Size of the total moment (μB per formula unit): 0.00
Fermi-level density of states (states/eV/f.u.): 4.5
VASP energy (eV per atom): -3.565